<one>
A plane-wave DFT calculation with PBE-GGA was carried out for a geometry-optimized LiAl4Zn2O8 structure.

Structure (POSCAR):
```
LiAl4Zn2O8
1.0
5.702 -1.678 -1.893
1.263 -4.255 4.383
-5.074 0.099 -3.628
Al O Zn Li
4 8 2 1
Direct
0.699 0.945 0.246
0.371 0.371 0.000
0.155 0.655 0.500
0.699 0.453 0.754
0.547 0.264 0.284
0.980 0.264 0.716
0.528 0.743 0.785
0.958 0.743 0.215
0.503 0.747 0.244
0.038 0.293 0.255
0.038 0.783 0.745
0.503 0.259 0.756
0.746 0.978 0.768
0.210 0.978 0.232
0.913 0.413 0.500
```

Values from the calculation:
space group	No. 44
DOS(E_F)	1.23	states/eV/cell



<two>
A plane-wave DFT calculation with PBE-GGA was carried out for a geometry-optimized LiAl4Zn2O8 structure.

Structure (POSCAR):
```
LiAl4Zn2O8
1.0
-3.344 -4.584 -1.154
2.371 -4.935 -1.886
0.176 -4.877 3.707
O Al Zn Li
8 4 2 1
Direct
0.244 0.771 0.744
0.747 0.747 0.297
0.760 0.760 0.718
0.229 0.756 0.256
0.240 0.240 0.282
0.756 0.229 0.256
0.771 0.244 0.744
0.253 0.253 0.703
0.143 0.143 0.067
0.857 0.857 0.933
0.500 0.000 0.500
0.000 0.500 0.500
0.500 0.500 0.500
0.500 0.500 0.000
0.000 0.000 0.500
```

Values from the calculation:
space group	No. 12
DOS(E_F)	1.98	states/eV/cell



Last place for stability: <two>



<one>
A plane-wave DFT calculation with PBE-GGA was carried out for a geometry-optimized LiZr2AlO structure.

Structure (POSCAR):
```
LiZr2AlO
1.0
4.758 0.000 0.000
0.000 4.045 0.000
0.000 0.000 4.758
Al Zr Li O
1 2 1 1
Direct
0.000 0.500 0.000
0.500 0.000 0.000
0.000 0.000 0.500
0.000 0.000 0.000
0.500 0.500 0.500
```

Values from the calculation:
space group	No. 123
DOS(E_F)	3.14	states/eV/cell



<two>
A plane-wave DFT calculation with PBE-GGA was carried out for a geometry-optimized LiZr2AlO structure.

Structure (POSCAR):
```
LiZr2AlO
1.0
4.454 0.000 0.000
0.000 4.454 0.000
0.000 0.000 4.016
Li Al O Zr
1 1 1 2
Direct
0.000 0.000 0.500
0.500 0.500 0.500
0.000 0.000 0.000
0.000 0.500 0.000
0.500 0.000 0.000
```

Values from the calculation:
space group	No. 123
DOS(E_F)	2.73	states/eV/cell



Last place for stability: <one>